First-principles (SCAN) data for ScNi2Au at its PBEsol-relaxed geometry, as listed in Alexandria.

a = 4.7746 Å, b = 4.7746 Å, c = 4.7746 Å
α = 133.82°, β = 133.82°, γ = 67.38°
Sites, in units of the cell vectors:
Sc1 0.0000 0.0000 0.0000
Ni1 0.5000 0.5000 0.0000
Ni2 0.7500 0.2500 0.5000
Au1 0.2500 0.7500 0.5000

Output
- final energy (hartree per atom) = -1.082
- ρ (g/cm³) = 10.706